# KSi2Pt | Alexandria via LeMat-Bulk | PBE | relaxed
data_KSi2Pt
_cell_length_a 4.554
_cell_length_b 4.825
_cell_length_c 7.537
_cell_angle_alpha 90.00
_cell_angle_beta 90.00
_cell_angle_gamma 90.00
_space_group_name_H-M_alt 'C m m m'
_space_group_IT_number 65
_space_group_name_Hall '-C 2 2'
loop_
_atom_site_label
_atom_site_fract_x
_atom_site_fract_y
_atom_site_fract_z
K1 0.000 0.000 0.000
Si1 0.000 0.500 0.335
Pt1 0.000 0.000 0.500
# DOS(E_F): 0.174 states/eV per atom
# energy relative to the elements, uncorrected: -10 kJ/mol of atoms

---

# TbPuRuRh | Alexandria via LeMat-Bulk | PBE | relaxed
data_TbPuRuRh
_cell_length_a 6.825
_cell_length_b 6.825
_cell_length_c 6.825
_cell_angle_alpha 90.00
_cell_angle_beta 90.00
_cell_angle_gamma 90.00
_space_group_name_H-M_alt 'F -4 3 m'
_space_group_IT_number 216
_space_group_name_Hall 'F -4 2 3'
loop_
_atom_site_label
_atom_site_fract_x
_atom_site_fract_y
_atom_site_fract_z
Tb1 0.000 0.000 0.000
Pu1 0.000 0.000 0.500
Ru1 0.250 0.250 0.250
Rh1 0.250 0.250 0.750
# DOS(E_F): 1.688 states/eV per atom
# energy of formation: -416 meV per atom

---

# La3Zn9Ni2 | Alexandria via LeMat-Bulk | PBE | relaxed
data_La3Zn9Ni2
_cell_length_a 4.399
_cell_length_b 9.388
_cell_length_c 12.820
_cell_angle_alpha 90.00
_cell_angle_beta 90.00
_cell_angle_gamma 90.00
_space_group_name_H-M_alt 'I m m m'
_space_group_IT_number 71
_space_group_name_Hall '-I 2 2'
loop_
_atom_site_label
_atom_site_fract_x
_atom_site_fract_y
_atom_site_fract_z
La1 0.000 0.000 0.000
La2 0.000 0.000 0.309
Zn1 0.000 0.284 0.119
Zn2 0.000 0.354 0.338
Zn3 0.000 0.500 0.000
Ni1 0.000 0.203 0.500
# DOS(E_F): 0.522 states/eV per atom
# energy of formation: -318 meV per atom

---

# DyAl2ZnPd4 | Alexandria via LeMat-Bulk | PBE | relaxed
data_DyAl2ZnPd4
_cell_length_a 4.3124
_cell_length_b 4.3124
_cell_length_c 25.1758
_cell_angle_alpha 90.00
_cell_angle_beta 90.00
_cell_angle_gamma 120.00
_space_group_name_H-M_alt 'R -3 m'
_space_group_IT_number 166
_space_group_name_Hall '-R 3 2"'
loop_
_atom_site_label
_atom_site_fract_x
_atom_site_fract_y
_atom_site_fract_z
Dy1 0.0000 0.0000 0.0000
Al1 0.0000 0.0000 0.2403
Zn1 0.0000 0.0000 0.5000
Pd1 0.0000 0.0000 0.1306
Pd2 0.0000 0.0000 0.3994
# DOS(E_F): 0.366 states/eV per atom
# energy of formation: -789 meV per atom

---

# AcBiRhO | Alexandria via LeMat-Bulk | PBE | relaxed
data_AcBiRhO
_cell_length_a 4.434
_cell_length_b 4.434
_cell_length_c 9.144
_cell_angle_alpha 90.00
_cell_angle_beta 90.00
_cell_angle_gamma 90.00
_space_group_name_H-M_alt 'P 4/n m m'
_space_group_IT_number 129
loop_
_space_group_symop_operation_xyz
'x,y,z'
'-x,-y,-z'
'-y+1/2,x,z'
'y+1/2,-x,-z'
'-x+1/2,-y+1/2,z'
'x+1/2,y+1/2,-z'
'y,-x+1/2,z'
'-y,x+1/2,-z'
'x+1/2,-y,-z'
'-x+1/2,y,z'
'-y,-x,-z'
'y,x,z'
'-x,y+1/2,-z'
'x,-y+1/2,z'
'y+1/2,x+1/2,-z'
'-y+1/2,-x+1/2,z'
loop_
_atom_site_label
_atom_site_fract_x
_atom_site_fract_y
_atom_site_fract_z
Ac1 0.250 0.250 0.130
Bi1 0.250 0.250 0.667
Rh1 0.250 0.750 0.500
O1 0.250 0.750 0.000
# DOS(E_F): 0.727 states/eV per atom
# energy relative to the elements, uncorrected: -161 kJ/mol of atoms

---

# Sc2IrPd2 | Alexandria via LeMat-Bulk | PBE | relaxed
data_Sc2IrPd2
_cell_length_a 3.584
_cell_length_b 3.584
_cell_length_c 14.563
_cell_angle_alpha 90.00
_cell_angle_beta 90.00
_cell_angle_gamma 90.00
_space_group_name_H-M_alt 'I 4/m m m'
_space_group_IT_number 139
_space_group_name_Hall '-I 4 2'
loop_
_atom_site_label
_atom_site_fract_x
_atom_site_fract_y
_atom_site_fract_z
Sc1 0.000 0.000 0.102
Ir1 0.000 0.000 0.500
Pd1 0.000 0.500 0.250
# relative energy among the computed polymorphs: 0.311 eV per atom
# DOS(E_F): 0.946 states/eV per atom
# energy of formation: -492 meV per atom

---

# La15Cd4Pb | Alexandria via LeMat-Bulk | PBE | relaxed
data_La15Cd4Pb
_cell_length_a 5.082
_cell_length_b 5.082
_cell_length_c 25.266
_cell_angle_alpha 90.00
_cell_angle_beta 90.00
_cell_angle_gamma 90.00
_space_group_name_H-M_alt 'P 4/m m m'
_space_group_IT_number 123
_space_group_name_Hall '-P 4 2'
loop_
_atom_site_label
_atom_site_fract_x
_atom_site_fract_y
_atom_site_fract_z
La1 0.000 0.000 0.000
La2 0.000 0.000 0.200
La3 0.000 0.000 0.400
La4 0.000 0.500 0.100
La5 0.000 0.500 0.300
La6 0.000 0.500 0.500
Cd1 0.500 0.500 0.200
Cd2 0.500 0.500 0.400
Pb1 0.500 0.500 0.000
# DOS(E_F): 1.528 states/eV per atom
# energy of formation: -183 meV per atom

---

# LaDy12Tm7 | Alexandria via LeMat-Bulk | PBE | relaxed
data_LaDy12Tm7
_cell_length_a 11.314
_cell_length_b 11.314
_cell_length_c 11.314
_cell_angle_alpha 90.00
_cell_angle_beta 90.00
_cell_angle_gamma 90.00
_space_group_name_H-M_alt 'I m -3 m'
_space_group_IT_number 229
_space_group_name_Hall '-I 4 2 3'
loop_
_atom_site_label
_atom_site_fract_x
_atom_site_fract_y
_atom_site_fract_z
La1 0.000 0.000 0.000
Dy1 0.000 0.262 0.262
Tm1 0.000 0.000 0.500
Tm2 0.250 0.250 0.250
# relative energy among the computed polymorphs: 0.468 eV per atom
# DOS(E_F): 1.266 states/eV per atom
# energy of formation: 706 meV per atom

---

# BaP2Ru | Alexandria via LeMat-Bulk | PBE | relaxed
data_BaP2Ru
_cell_length_a 6.816
_cell_length_b 6.816
_cell_length_c 6.816
_cell_angle_alpha 90.00
_cell_angle_beta 90.00
_cell_angle_gamma 90.00
_space_group_name_H-M_alt 'F m -3 m'
_space_group_IT_number 225
_space_group_name_Hall '-F 4 2 3'
loop_
_atom_site_label
_atom_site_fract_x
_atom_site_fract_y
_atom_site_fract_z
Ba1 0.000 0.000 0.000
P1 0.250 0.250 0.250
Ru1 0.000 0.000 0.500
# relative energy among the computed polymorphs: 0.895 eV per atom
# DOS(E_F): 0.309 states/eV per atom
# energy of formation: 246 meV per atom

---

# LiGa4Ag6 | Alexandria via LeMat-Bulk | PBE | relaxed
data_LiGa4Ag6
_cell_length_a 8.9371
_cell_length_b 8.9371
_cell_length_c 2.8592
_cell_angle_alpha 90.00
_cell_angle_beta 90.00
_cell_angle_gamma 120.00
_space_group_name_H-M_alt 'P -6 m 2'
_space_group_IT_number 187
_space_group_name_Hall 'P -6 2'
loop_
_atom_site_label
_atom_site_fract_x
_atom_site_fract_y
_atom_site_fract_z
Li1 0.0000 0.0000 0.0000
Ga1 0.3333 0.6667 0.0000
Ga2 0.3553 0.1776 0.5000
Ag1 0.1693 0.3386 0.5000
Ag2 0.5150 0.0301 0.0000
# DOS(E_F): 0.492 states/eV per atom
# energy of formation: -44 meV per atom

---

# Pm2PuFeN4 | Alexandria via LeMat-Bulk | PBE | relaxed
data_Pm2PuFeN4
_cell_length_a 3.399
_cell_length_b 11.680
_cell_length_c 11.986
_cell_angle_alpha 90.00
_cell_angle_beta 90.00
_cell_angle_gamma 90.00
_space_group_name_H-M_alt 'C m c m'
_space_group_IT_number 63
_space_group_name_Hall '-C 2c 2'
loop_
_atom_site_label
_atom_site_fract_x
_atom_site_fract_y
_atom_site_fract_z
Pm1 0.000 0.132 0.046
Pu1 0.000 0.375 0.250
Fe1 0.000 0.342 0.750
N1 0.000 0.092 0.250
N2 0.000 0.224 0.640
N3 0.000 0.500 0.000
# DOS(E_F): 0.911 states/eV per atom
# energy relative to the elements, uncorrected: -84 kJ/mol of atoms

---

# Na3Tl3Sn2 | Alexandria via LeMat-Bulk | PBE | relaxed
data_Na3Tl3Sn2
_cell_length_a 20.535
_cell_length_b 4.701
_cell_length_c 4.793
_cell_angle_alpha 90.00
_cell_angle_beta 102.99
_cell_angle_gamma 90.00
_space_group_name_H-M_alt 'C 1 2/m 1'
_space_group_IT_number 12
loop_
_space_group_symop_operation_xyz
'x,y,z'
'-x,-y,-z'
'-x,y,-z'
'x,-y,z'
'x+1/2,y+1/2,z'
'-x+1/2,-y+1/2,-z'
'-x+1/2,y+1/2,-z'
'x+1/2,-y+1/2,z'
loop_
_atom_site_label
_atom_site_fract_x
_atom_site_fract_y
_atom_site_fract_z
Na1 0.000 0.000 0.000
Na2 0.129 0.000 0.632
Tl1 0.000 0.500 0.500
Tl2 0.131 0.500 0.128
Sn1 0.248 0.000 0.260
# DOS(E_F): 0.472 states/eV per atom
# energy of formation: -107 meV per atom

---

# Sr6Hg5Pb | Alexandria via LeMat-Bulk | PBE | relaxed
data_Sr6Hg5Pb
_cell_length_a 5.670
_cell_length_b 8.149
_cell_length_c 16.993
_cell_angle_alpha 90.00
_cell_angle_beta 90.00
_cell_angle_gamma 90.00
_space_group_name_H-M_alt 'I m m m'
_space_group_IT_number 71
_space_group_name_Hall '-I 2 2'
loop_
_atom_site_label
_atom_site_fract_x
_atom_site_fract_y
_atom_site_fract_z
Sr1 0.000 0.246 0.000
Sr2 0.000 0.252 0.333
Hg1 0.000 0.000 0.165
Hg2 0.000 0.500 0.166
Hg3 0.000 0.500 0.500
Pb1 0.000 0.000 0.500
# DOS(E_F): 0.563 states/eV per atom
# energy of formation: -552 meV per atom

---

# La3Sc2Ag3 | Alexandria via LeMat-Bulk | PBE | relaxed
data_La3Sc2Ag3
_cell_length_a 3.636
_cell_length_b 5.381
_cell_length_c 22.095
_cell_angle_alpha 90.00
_cell_angle_beta 90.00
_cell_angle_gamma 90.00
_space_group_name_H-M_alt 'I m m m'
_space_group_IT_number 71
_space_group_name_Hall '-I 2 2'
loop_
_atom_site_label
_atom_site_fract_x
_atom_site_fract_y
_atom_site_fract_z
La1 0.000 0.000 0.000
La2 0.000 0.500 0.125
Sc1 0.000 0.000 0.236
Ag1 0.000 0.000 0.500
Ag2 0.000 0.500 0.366
# DOS(E_F): 1.312 states/eV per atom
# energy of formation: -167 meV per atom

---

# PmFeNi4 | Alexandria via LeMat-Bulk | PBE | relaxed
data_PmFeNi4
_cell_length_a 7.080
_cell_length_b 3.758
_cell_length_c 6.589
_cell_angle_alpha 90.00
_cell_angle_beta 90.00
_cell_angle_gamma 90.00
_space_group_name_H-M_alt 'P m m a'
_space_group_IT_number 51
loop_
_space_group_symop_operation_xyz
'x,y,z'
'-x,-y,-z'
'-x+1/2,-y,z'
'x+1/2,y,-z'
'x+1/2,-y,-z'
'-x+1/2,y,z'
'-x,y,-z'
'x,-y,z'
loop_
_atom_site_label
_atom_site_fract_x
_atom_site_fract_y
_atom_site_fract_z
Pm1 0.250 0.000 0.137
Fe1 0.250 0.000 0.715
Ni1 0.000 0.000 0.500
Ni2 0.055 0.500 0.785
Ni3 0.250 0.500 0.470
# relative energy among the computed polymorphs: 0.047 eV per atom
# DOS(E_F): 0.696 states/eV per atom
# energy of formation: -64 meV per atom

---

# LiAs2RuBr | Alexandria via LeMat-Bulk | PBE | relaxed
data_LiAs2RuBr
_cell_length_a 4.672
_cell_length_b 4.672
_cell_length_c 5.868
_cell_angle_alpha 90.00
_cell_angle_beta 90.00
_cell_angle_gamma 90.00
_space_group_name_H-M_alt 'P 4/m m m'
_space_group_IT_number 123
_space_group_name_Hall '-P 4 2'
loop_
_atom_site_label
_atom_site_fract_x
_atom_site_fract_y
_atom_site_fract_z
Li1 0.000 0.000 0.000
As1 0.000 0.500 0.500
Ru1 0.500 0.500 0.500
Br1 0.500 0.500 0.000
# relative energy among the computed polymorphs: 0.000 eV per atom
# DOS(E_F): 0.734 states/eV per atom
# energy relative to the elements, uncorrected: 5 kJ/mol of atoms

---

# CdCu2Pd4 | Alexandria via LeMat-Bulk | PBE | relaxed
data_CdCu2Pd4
_cell_length_a 6.698
_cell_length_b 5.442
_cell_length_c 6.755
_cell_angle_alpha 90.00
_cell_angle_beta 116.73
_cell_angle_gamma 90.00
_space_group_name_H-M_alt 'P 1 21/m 1'
_space_group_IT_number 11
loop_
_space_group_symop_operation_xyz
'x,y,z'
'-x,-y,-z'
'-x,y+1/2,-z'
'x,-y+1/2,z'
loop_
_atom_site_label
_atom_site_fract_x
_atom_site_fract_y
_atom_site_fract_z
Cd1 0.234 0.250 0.070
Cu1 0.268 0.750 0.056
Cu2 0.487 0.250 0.507
Pd1 0.053 0.250 0.357
Pd2 0.100 0.750 0.338
Pd3 0.348 0.000 0.756
# DOS(E_F): 0.675 states/eV per atom
# energy of formation: -55 meV per atom

---

# PuMnRu2 | Alexandria via LeMat-Bulk | PBE | relaxed
data_PuMnRu2
_cell_length_a 4.218
_cell_length_b 4.218
_cell_length_c 3.600
_cell_angle_alpha 90.00
_cell_angle_beta 90.00
_cell_angle_gamma 90.00
_space_group_name_H-M_alt 'P 4/m m m'
_space_group_IT_number 123
_space_group_name_Hall '-P 4 2'
loop_
_atom_site_label
_atom_site_fract_x
_atom_site_fract_y
_atom_site_fract_z
Pu1 0.000 0.000 0.000
Mn1 0.500 0.500 0.000
Ru1 0.000 0.500 0.500
# DOS(E_F): 1.615 states/eV per atom
# energy of formation: -42 meV per atom

---

# CaLaTl | Alexandria via LeMat-Bulk | PBE | relaxed
data_CaLaTl
_cell_length_a 5.6181
_cell_length_b 5.6181
_cell_length_c 7.1014
_cell_angle_alpha 90.00
_cell_angle_beta 90.00
_cell_angle_gamma 120.00
_space_group_name_H-M_alt 'P 63/m m c'
_space_group_IT_number 194
_space_group_name_Hall '-P 6c 2c'
loop_
_atom_site_label
_atom_site_fract_x
_atom_site_fract_y
_atom_site_fract_z
Ca1 0.0000 0.0000 0.0000
La1 0.3333 0.6667 0.2500
Tl1 0.3333 0.6667 0.7500
# relative energy among the computed polymorphs: 0.000 eV per atom
# DOS(E_F): 0.078 states/eV per atom
# energy of formation: -398 meV per atom

---

# RbAlH2 | Alexandria via LeMat-Bulk | PBE | relaxed
data_RbAlH2
_cell_length_a 12.874
_cell_length_b 4.720
_cell_length_c 7.000
_cell_angle_alpha 90.00
_cell_angle_beta 122.75
_cell_angle_gamma 90.00
_space_group_name_H-M_alt 'C 1 m 1'
_space_group_IT_number 8
loop_
_space_group_symop_operation_xyz
'x,y,z'
'x,-y,z'
'x+1/2,y+1/2,z'
'x+1/2,-y+1/2,z'
loop_
_atom_site_label
_atom_site_fract_x
_atom_site_fract_y
_atom_site_fract_z
Rb1 0.000 0.000 0.000
Rb2 0.080 0.500 0.581
Al1 0.290 0.000 0.498
Al2 0.290 0.500 0.316
H1 0.168 0.500 0.046
H2 0.173 0.000 0.537
H3 0.411 0.000 0.768
H4 0.412 0.500 0.290
# relative energy among the computed polymorphs: 0.031 eV per atom

---

For each record above, in turn, the calculated theoretical density values are 5.82, 12.68, 7.04, 8.69, 10.25, 8.79, 6.97, 7.50, 6.30, 7.83, 9.01, 6.77, 7.34, 6.38, 8.25, 4.38, 10.05, 12.99, 6.56, 2.12 Mg/m³.